Here is YbV4O8 after structural relaxation from Alexandria via LeMat-Bulk. Energies are from GGA+U.

Unit cell a=5.0587 b=8.9782 c=7.5660 alpha=85.27 beta=90.00 gamma=90.00
Element x y z (fractional)
Yb 0.3487 0.5759 0.6921
Yb 0.8487 0.4241 0.3079
V 0.3983 0.9423 0.8578
V 0.3433 0.2673 0.0914
V 0.3724 0.6599 0.2229
V 0.2984 0.2181 0.5293
V 0.7984 0.7819 0.4707
V 0.8724 0.3401 0.7771
V 0.8433 0.7327 0.9086
V 0.8983 0.0577 0.1422
O 0.2518 0.0596 0.0403
O 0.2249 0.3437 0.8803
O 0.1281 0.7166 0.4208
O 0.2992 0.4597 0.1973
O 0.2223 0.7435 0.9274
O 0.1035 0.3896 0.5604
O 0.1461 0.1949 0.3049
O 0.2367 0.0461 0.6561
O 0.7223 0.2565 0.0726
O 0.7992 0.5403 0.8027
O 0.6461 0.8051 0.6951
O 0.6035 0.6104 0.4396
O 0.6281 0.2834 0.5792
O 0.7249 0.6563 0.1197
O 0.7367 0.9539 0.3439
O 0.7518 0.9404 0.9597

Properties
- Crystal system: monoclinic
- ΔE to the lowest computed polymorph: 1.73 eV per formula unit
- Size of the total moment: 11.85 μB/cell
- Electronic total energy: -7.51 eV/atom